! GGA-PBE CsNa2Ge2As2, relaxed; values from VASP
! Calculated formation energy ... -1.83 eV/f.u.
! Symmetry ... C2/m
&SYSTEM
  ibrav = 0, nat = 7, ntyp = 4
/
ATOMIC_SPECIES
Cs 132.91 Cs.upf
Na 22.99 Na.upf
Ge 72.64 Ge.upf
As 74.92 As.upf
CELL_PARAMETERS angstrom
5.726 -1.948 0.000
5.726 1.948 0.000
-3.136 0.000 9.134
ATOMIC_POSITIONS crystal
Cs 0.000 0.000 0.000
Na 0.150 0.150 0.397
Na 0.850 0.850 0.603
Ge 0.443 0.443 0.351
Ge 0.557 0.557 0.649
As 0.202 0.202 0.726
As 0.798 0.798 0.274

! GGA-PBE Ca4AcPa3N8, relaxed; values from VASP
! Symmetry ... R-3m
&SYSTEM
  ibrav = 0, nat = 16, ntyp = 4
/
ATOMIC_SPECIES
Ca 40.08 Ca.upf
Ac 227.00 Ac.upf
Pa 231.04 Pa.upf
N 14.01 N.upf
CELL_PARAMETERS angstrom
3.627 2.094 5.722
-3.627 2.094 5.722
0.000 -4.188 5.722
ATOMIC_POSITIONS crystal
Ca 0.000 0.000 0.000
Ca 0.000 0.500 0.500
Ca 0.500 0.000 0.500
Ca 0.500 0.500 0.000
Ac 0.500 0.500 0.500
Pa 0.000 0.000 0.500
Pa 0.000 0.500 0.000
Pa 0.500 0.000 0.000
N 0.206 0.754 0.754
N 0.239 0.239 0.239
N 0.246 0.246 0.794
N 0.246 0.794 0.246
N 0.754 0.206 0.754
N 0.754 0.754 0.206
N 0.761 0.761 0.761
N 0.794 0.246 0.246

| no. | calculated total energy (eV per atom) | DOS at the Fermi energy (states/eV/atom) |
| --- | --- | --- |
| 1 | -3.408 | 0.430 |
| 2 | -8.053 | 0.579 |